Entry from Alexandria: a relaxed Ho4Tl5Ag2 crystal (PBE).

Computed properties:
- Formation energy: -0.257 eV per atom
- Magnetization: 0.00 μB per formula unit

a b c (Å): 8.150 3.616 9.769
angles (deg): 90.00 91.58 90.00
Positions (direct):
Ho 0.211 0.000 0.359
Ho 0.231 0.000 0.906
Ho 0.769 0.000 0.094
Ho 0.789 0.000 0.641
Tl 0.134 0.500 0.631
Tl 0.449 0.500 0.159
Tl 0.500 0.500 0.500
Tl 0.551 0.500 0.841
Tl 0.866 0.500 0.369
Ag 0.081 0.500 0.128
Ag 0.919 0.500 0.872